Entry 1:
The following is a meta-GGA SCAN calculation of Cu2PO4F at its PBEsol-relaxed geometry, from the Alexandria database.

abc: 12.736 6.179 9.959
angles: 90.00 119.38 90.00
Space group C2/c (No. 15)
One atom of each set of equivalent atoms:
1 Cu 0.062 0.241 0.003 (multiplicity 8)
2 Cu 0.153 0.387 0.350 (multiplicity 8)
3 P 0.172 0.105 0.802 (multiplicity 8)
4 O 0.075 0.065 0.635 (multiplicity 8)
5 O 0.136 0.302 0.869 (multiplicity 8)
6 O 0.186 0.088 0.408 (multiplicity 8)
7 O 0.205 0.345 0.191 (multiplicity 8)
8 F 0.024 0.382 0.402 (multiplicity 8)

## Properties
crystal system = monoclinic
formation energy (no corrections) = -1766.1 meV per atom
magnetic moment = 2.00 μB/f.u.
calculated volume = 683 Å³/cell
density = 4.69 g/cm3


Entry 2:
The following is a meta-GGA SCAN calculation of TiZnAgP3O12 at its PBEsol-relaxed geometry, from the Alexandria database.

abc: 8.7171 8.7171 20.3650
angles: 90.00 90.00 120.00
Space group R3c (No. 161, hexagonal axes)
One atom of each set of equivalent atoms:
1 Ti 0.0000 0.0000 0.0000 (multiplicity 6)
2 Zn 0.0000 0.0000 0.1487 (multiplicity 6)
3 Ag 0.0000 0.0000 0.2921 (multiplicity 6)
4 P 0.0355 0.3621 0.0609 (multiplicity 18)
5 O 0.0220 0.1783 0.0712 (multiplicity 18)
6 O 0.1182 0.4433 0.9954 (multiplicity 18)
7 O 0.1474 0.4800 0.1194 (multiplicity 18)
8 O 0.1560 0.4861 0.3871 (multiplicity 18)

## Properties
crystal system = trigonal
formation energy (no corrections) = -2109.8 meV per atom
magnetic moment = 0.00 μB/f.u.
calculated volume = 1340 Å³/cell
density = 3.76 g/cm3


Entry 3:
The following is a meta-GGA SCAN calculation of MnAsS2 at its PBEsol-relaxed geometry, from the Alexandria database.

abc: 3.1924 3.1924 23.0796
angles: 90.00 90.00 120.00
Space group R-3m (No. 166, hexagonal axes)
One atom of each set of equivalent atoms:
1 Mn 0.0000 0.0000 0.0000 (multiplicity 3)
2 As 0.0000 0.0000 0.5000 (multiplicity 3)
3 S 0.0000 0.0000 0.3905 (multiplicity 6)

## Properties
crystal system = trigonal
formation energy (no corrections) = -393.3 meV per atom
magnetic moment = 2.25 μB/f.u.
calculated volume = 204 Å³/cell
density = 4.74 g/cm3


Entry 4:
The following is a meta-GGA SCAN calculation of LiInPt2 at its PBEsol-relaxed geometry, from the Alexandria database.

abc: 3.921 3.921 8.053
angles: 90.00 90.00 90.00
Space group I-4m2 (No. 119)
One atom of each set of equivalent atoms:
1 Li 0.000 0.000 0.000 (multiplicity 2)
2 In 0.000 0.500 0.250 (multiplicity 2)
3 Pt 0.000 0.000 0.500 (multiplicity 2)
4 Pt 0.000 0.500 0.750 (multiplicity 2)

## Properties
crystal system = tetragonal
magnetic moment = 0.00 μB/f.u.
energy of formation = -0.57 eV/atom
calculated volume = 124 Å³/cell
density = 13.73 g/cm3


Entry 5:
The following is a meta-GGA SCAN calculation of BaAu3 at its PBEsol-relaxed geometry, from the Alexandria database.

abc: 4.218 4.768 5.351
angles: 90.00 90.00 90.00
Space group Pmmm (No. 47)
One atom of each set of equivalent atoms:
1 Ba 0.000 0.000 0.000 (multiplicity 1)
2 Au 0.500 0.000 0.500 (multiplicity 1)
3 Au 0.500 0.500 0.248 (multiplicity 2)

## Properties
crystal system = orthorhombic
magnetic moment = 0.00 μB/f.u.
energy of formation = -0.68 eV/atom
calculated volume = 108 Å³/cell
density = 11.24 g/cm3


Entry 6:
The following is a meta-GGA SCAN calculation of Nd3Cd at its PBEsol-relaxed geometry, from the Alexandria database.

abc: 7.0193 7.0193 5.4477
angles: 90.00 90.00 120.00
Space group P6_3/mmc (No. 194)
One atom of each set of equivalent atoms:
1 Nd 0.1754 0.3508 0.2500 (multiplicity 6)
2 Cd 0.3333 0.6667 0.7500 (multiplicity 2)

## Properties
energy relative to the lowest polymorph listed for this composition = 0.000 eV/f.u.
crystal system = hexagonal
magnetic moment = 0.01 μB/f.u.
energy of formation = -0.18 eV/atom
calculated volume = 232 Å³/cell
density = 7.79 g/cm3